VASP calculation (PBE) on a relaxed structure of Mn2RuCl.

Unit cell a=6.222 b=6.222 c=6.222 alpha=152.32 beta=140.03 gamma=49.31
Last column: magnetic moment on the atom in μB.
Positions (direct):
Mn  0.019  0.019  0.000  3.88
Cl  0.301  0.801  0.500  0.05
Ru  0.498  0.498  0.000  0.13
Mn  0.682  0.182  0.500  3.92

Values from the calculation:
ΔE to the lowest computed polymorph   377 meV per atom
Size of the total moment   8.58 μB/f.u.
Volume   17.9 A^3/atom



VASP calculation (PBE) on a relaxed structure of MnRu2Cl.

Unit cell a=8.368 b=8.368 c=8.368 alpha=19.14 beta=19.14 gamma=19.14
Last column: magnetic moment on the atom in μB.
Positions (direct):
Ru  0.004  0.004  0.004  -0.08
Mn  0.750  0.750  0.750  0.53
Cl  0.250  0.250  0.250  -0.02
Ru  0.496  0.496  0.496  -0.08

Values from the calculation:
ΔE to the lowest computed polymorph   230 meV per atom
Size of the total moment   0.35 μB/f.u.
Volume   13.8 A^3/atom



VASP calculation (PBE) on a relaxed structure of MnRu2Cl.

Unit cell a=3.951 b=2.883 c=5.244 alpha=73.38 beta=90.00 gamma=90.00
Last column: magnetic moment on the atom in μB.
Positions (direct):
Ru  0.000  0.361  0.494  -0.28
Cl  0.500  0.250  0.250  -0.01
Ru  0.000  0.139  0.006  -0.28
Mn  0.500  0.750  0.750  3.20

Values from the calculation:
ΔE to the lowest computed polymorph   335 meV per atom
Size of the total moment   2.75 μB/f.u.
Volume   14.3 A^3/atom



VASP calculation (PBE) on a relaxed structure of MnSn2RuCl.

Unit cell a=5.139 b=4.458 c=5.139 alpha=90.00 beta=90.00 gamma=90.00
Last column: magnetic moment on the atom in μB.
Positions (direct):
Mn  0.000  0.000  0.000  0.22
Cl  0.500  0.500  0.500  0.02
Sn  0.500  0.000  0.000  -0.01
Ru  0.000  0.500  0.000  0.69
Sn  0.000  0.000  0.500  -0.01

Values from the calculation:
Size of the total moment   0.99 μB/f.u.
Volume   23.5 A^3/atom



| no. | uncorrected formation energy (eV per atom) |
| --- | --- |
| 1 | 0.424 |
| 2 | 0.430 |
| 3 | 0.535 |
| 4 | 0.496 |